Er3Sc4S8 GGA-PBE optimized geometry; symmetry = No. 12; energy = -6.77 eV/atom; formation energy (no corrections) = -1965 meV/atom
1.0
5.327 -5.331 0.000
5.327 5.331 0.000
-5.284 0.000 5.332
Er Sc S
3 4 8
Direct
0.000 0.000 0.000
0.000 0.500 0.500
0.500 0.000 0.500
0.000 0.500 0.000
0.500 0.000 0.000
0.500 0.500 0.000
0.500 0.500 0.500
0.253 0.747 0.500
0.254 0.746 0.000
0.256 0.256 0.005
0.256 0.256 0.508
0.744 0.744 0.492
0.744 0.744 0.995
0.746 0.254 0.000
0.747 0.253 0.500

***

ErScS GGA-PBE optimized geometry; symmetry = No. 156; energy = -6.25 eV/atom; formation energy (no corrections) = -1241 meV/atom
1.0
3.647 0.000 0.000
-1.823 3.158 0.000
0.000 0.000 5.970
Er Sc S
1 1 1
Direct
0.000 0.000 0.000
0.667 0.333 0.466
0.333 0.667 0.714

***

ErSc6S8 GGA-PBE optimized geometry; symmetry = No. 148; energy = -6.65 eV/atom; formation energy (no corrections) = -1610 meV/atom
1.0
5.061 2.922 3.817
-5.061 2.922 3.817
0.000 -5.844 3.817
Er Sc S
1 6 8
Direct
0.000 0.000 0.000
0.190 0.563 0.400
0.400 0.190 0.563
0.437 0.600 0.810
0.563 0.400 0.190
0.600 0.810 0.437
0.810 0.437 0.600
0.139 0.367 0.722
0.231 0.231 0.231
0.278 0.861 0.633
0.367 0.722 0.139
0.633 0.278 0.861
0.722 0.139 0.367
0.769 0.769 0.769
0.861 0.633 0.278